Density functional theory data (PBE) for a geometry-optimized Cr2NiP structure.

```
data_Cr2NiP
_chemical_formula_sum 'Cr4 Ni2 P2'
_cell_length_a 3.048
_cell_length_b 4.136
_cell_length_c 7.350
_cell_angle_alpha 90.00
_cell_angle_beta 90.00
_cell_angle_gamma 90.00
_symmetry_space_group_name_H-M 'C m m 2'
_symmetry_Int_Tables_number 35
loop_
_symmetry_equiv_pos_as_xyz
'x,y,z'
'-x,-y,z'
'-x,y,z'
'x,-y,z'
'x+1/2,y+1/2,z'
'-x+1/2,-y+1/2,z'
'-x+1/2,y+1/2,z'
'x+1/2,-y+1/2,z'
loop_
_atom_site_label
_atom_site_type_symbol
_atom_site_fract_x
_atom_site_fract_y
_atom_site_fract_z
Cr1 Cr 0.000 0.000 0.000
Cr2 Cr 0.000 0.500 0.255
Ni1 Ni 0.000 0.000 0.527
P1 P 0.000 0.500 0.757
```

Calculated values
E = -7.527 eV per atom
E_form = 0.33 eV/f.u.

Density functional theory data (PBE) for a geometry-optimized Cr2NiP structure.

```
data_Cr2NiP
_chemical_formula_sum 'Cr2 Ni1 P1'
_cell_length_a 3.482
_cell_length_b 3.482
_cell_length_c 3.729
_cell_angle_alpha 90.00
_cell_angle_beta 90.00
_cell_angle_gamma 90.00
_symmetry_space_group_name_H-M 'P 4/m m m'
_symmetry_Int_Tables_number 123
_symmetry_space_group_name_Hall '-P 4 2'
loop_
_atom_site_label
_atom_site_type_symbol
_atom_site_fract_x
_atom_site_fract_y
_atom_site_fract_z
Cr1 Cr 0.000 0.500 0.000
Ni1 Ni 0.000 0.000 0.500
P1 P 0.500 0.500 0.500
```

Calculated values
E = -7.716 eV per atom
E_form = -0.43 eV/f.u.

Density functional theory data (PBE) for a geometry-optimized CrNi2P structure.

```
data_CrNi2P
_chemical_formula_sum 'Cr2 Ni4 P2'
_cell_length_a 4.761
_cell_length_b 7.298
_cell_length_c 2.602
_cell_angle_alpha 90.00
_cell_angle_beta 90.00
_cell_angle_gamma 90.00
_symmetry_space_group_name_H-M 'C m m m'
_symmetry_Int_Tables_number 65
_symmetry_space_group_name_Hall '-C 2 2'
loop_
_atom_site_label
_atom_site_type_symbol
_atom_site_fract_x
_atom_site_fract_y
_atom_site_fract_z
Cr1 Cr 0.000 0.000 0.000
Ni1 Ni 0.250 0.250 0.500
P1 P 0.000 0.500 0.000
```

Calculated values
E = -6.664 eV per atom
E_form = -0.06 eV/f.u.

Density functional theory data (PBE) for a geometry-optimized CrNiP structure.

```
data_CrNiP
_chemical_formula_sum 'Cr4 Ni4 P4'
_cell_length_a 5.456
_cell_length_b 5.456
_cell_length_c 5.456
_cell_angle_alpha 90.00
_cell_angle_beta 90.00
_cell_angle_gamma 90.00
_symmetry_space_group_name_H-M 'F -4 3 m'
_symmetry_Int_Tables_number 216
_symmetry_space_group_name_Hall 'F -4 2 3'
loop_
_atom_site_label
_atom_site_type_symbol
_atom_site_fract_x
_atom_site_fract_y
_atom_site_fract_z
Cr1 Cr 0.000 0.000 0.000
Ni1 Ni 0.250 0.250 0.250
P1 P 0.250 0.250 0.750
```

Calculated values
E = -6.989 eV per atom
E_form = -0.15 eV/f.u.